First-principles (PBE) data for an optimized crystal structure of YTaFe2, as listed in Alexandria via LeMat-Bulk.

Cell and atoms, written as POSCAR:
```
YTaFe2
1.0
3.179 0.000 0.000
-1.589 2.753 0.000
0.000 0.000 23.906
Y Ta Fe
3 3 6
Cartesian
0.000 0.000 0.000
0.000 1.835 15.937
1.589 0.918 7.969
0.000 0.000 11.953
0.000 1.835 3.984
1.589 0.918 19.922
0.000 0.000 5.754
0.000 0.000 18.152
0.000 1.835 10.183
0.000 1.835 21.691
1.589 0.918 2.215
1.589 0.918 13.723
```

- crystal system = trigonal
- total magnetic moment (μB/f.u.) = 2.44
- formation energy from the elements (meV per atom) = 386
- E (eV per atom) = -8.425

First-principles (PBE) data for an optimized crystal structure of LiAlAg2, as listed in Alexandria via LeMat-Bulk.

Cell and atoms, written as POSCAR:
```
LiAlAg2
1.0
2.873 0.000 0.000
0.000 4.179 0.000
0.000 0.000 5.515
Li Al Ag
1 1 2
Cartesian
0.000 0.000 0.000
1.437 2.089 3.985
0.000 0.000 2.804
1.437 2.089 1.187
```

- crystal system = orthorhombic
- total magnetic moment (μB/f.u.) = 0.00
- formation energy from the elements (meV per atom) = -155
- E (eV per atom) = -2.995

First-principles (PBE) data for an optimized crystal structure of LaSi, as listed in Alexandria via LeMat-Bulk.

Cell and atoms, written as POSCAR:
```
LaSi
1.0
11.860 0.000 0.000
0.000 4.278 0.000
-0.948 0.000 6.222
La Si
6 6
Cartesian
0.000 0.000 0.000
1.425 2.139 3.601
3.557 0.000 2.622
5.930 2.139 0.000
7.355 0.000 3.601
9.487 2.139 2.622
-0.474 0.000 3.111
2.454 2.139 0.473
2.528 0.000 5.749
5.456 2.139 3.111
8.384 0.000 0.473
8.458 2.139 5.749
```

- crystal system = monoclinic
- total magnetic moment (μB/f.u.) = 0.00
- formation energy (no corrections) (eV/atom) = -0.5835
- E (eV per atom) = -5.759

First-principles (PBE) data for an optimized crystal structure of CaHgW2, as listed in Alexandria via LeMat-Bulk.

Cell and atoms, written as POSCAR:
```
CaHgW2
1.0
3.992 0.000 0.000
0.000 3.992 0.000
0.000 0.000 9.881
Ca Hg W
2 2 4
Cartesian
0.000 0.000 0.000
1.996 1.996 4.941
0.000 0.000 4.941
1.996 1.996 0.000
0.000 1.996 2.470
0.000 1.996 7.411
1.996 0.000 2.470
1.996 0.000 7.411
```

- crystal system = tetragonal
- total magnetic moment (μB/f.u.) = 0.00
- formation energy from the elements (meV per atom) = 852
- E (eV per atom) = -6.201

First-principles (PBE) data for an optimized crystal structure of LaAlCd, as listed in Alexandria via LeMat-Bulk.

Cell and atoms, written as POSCAR:
```
LaAlCd
1.0
4.896 0.000 0.000
0.000 8.082 0.000
0.000 0.000 7.831
La Al Cd
4 4 4
Cartesian
1.224 1.731 0.000
1.224 2.310 3.916
3.672 5.772 3.916
3.672 6.351 0.000
1.224 4.670 1.539
1.224 7.454 5.455
3.672 0.629 5.455
3.672 3.412 1.539
1.224 4.801 6.292
1.224 7.322 2.376
3.672 0.760 2.376
3.672 3.281 6.292
```

- crystal system = orthorhombic
- total magnetic moment (μB/f.u.) = 0.00
- formation energy from the elements (meV per atom) = -406
- E (eV per atom) = -3.601

First-principles (PBE) data for an optimized crystal structure of InAsCl2, as listed in Alexandria via LeMat-Bulk.

Cell and atoms, written as POSCAR:
```
InAsCl2
1.0
4.550 0.000 0.000
0.000 4.550 0.000
0.000 0.000 4.353
In As Cl
1 1 2
Cartesian
0.000 0.000 0.000
2.275 2.275 0.000
0.000 2.275 2.176
2.275 0.000 2.176
```

- crystal system = tetragonal
- total magnetic moment (μB/f.u.) = 0.00
- formation energy (no corrections) (eV/atom) = 0.0329
- energy relative to the lowest polymorph listed for this composition (eV per atom) = 0.5122
- E (eV per atom) = -2.737

First-principles (PBE) data for an optimized crystal structure of HgMo2Ru, as listed in Alexandria via LeMat-Bulk.

Cell and atoms, written as POSCAR:
```
HgMo2Ru
1.0
3.939 0.000 0.000
0.000 3.939 0.000
0.000 0.000 4.170
Hg Mo Ru
1 2 1
Cartesian
0.000 0.000 0.000
0.000 1.970 2.085
1.970 0.000 2.085
1.970 1.970 0.000
```

- crystal system = tetragonal
- total magnetic moment (μB/f.u.) = 0.00
- formation energy from the elements (meV per atom) = 446
- E (eV per atom) = -7.364

First-principles (PBE) data for an optimized crystal structure of Co2SiCl, as listed in Alexandria via LeMat-Bulk.

Cell and atoms, written as POSCAR:
```
Co2SiCl
1.0
2.840 0.000 0.000
0.000 3.397 0.000
0.000 0.000 5.627
Co Si Cl
2 1 1
Cartesian
0.000 0.000 0.000
1.420 1.699 1.567
0.000 0.000 2.330
1.420 1.699 4.954
```

- crystal system = orthorhombic
- total magnetic moment (μB/f.u.) = 0.25
- formation energy (no corrections) (eV/atom) = 0.1482
- energy relative to the lowest polymorph listed for this composition (eV per atom) = 0.2761
- E (eV per atom) = -5.222